1.
Pr4Sm4Ho5, relaxed, DFT PBE-GGA; energy of formation from the pure elements = 0.019 eV per atom; crystal system = tetragonal; calculated volume = 434.5 Å³/cell; symmetry = No. 87
1.0
-0.580 -4.944 -1.085
8.429 -2.831 -3.568
2.570 -4.673 7.959
Ho Sm Pr
5 4 4
Direct
0.539 0.773 0.150
0.311 0.150 0.227
0.689 0.850 0.773
0.000 0.000 0.000
0.461 0.227 0.850
0.848 0.924 0.381
0.152 0.076 0.619
0.772 0.381 0.076
0.228 0.619 0.924
0.079 0.538 0.303
0.383 0.697 0.538
0.617 0.303 0.462
0.921 0.462 0.697

***

2.
Pr2Sm3Ho8, relaxed, DFT PBE-GGA; energy above the most stable polymorph in this dataset = 18.1 meV per atom; energy of formation from the pure elements = 0.248 eV per atom; crystal system = monoclinic; calculated volume = 443.1 Å³/cell; symmetry = No. 12
1.0
5.511 0.000 0.827
0.000 7.677 0.000
-1.539 -3.839 10.241
Sm Ho Pr
3 8 2
Direct
0.000 0.292 0.000
0.500 0.000 0.000
0.000 0.708 0.000
0.500 0.181 0.786
0.500 0.604 0.786
0.000 0.662 0.325
0.000 0.129 0.258
0.500 0.819 0.214
0.000 0.338 0.675
0.000 0.871 0.742
0.500 0.396 0.214
0.501 0.759 0.518
0.499 0.241 0.482

***

3.
Pr2Sm2Ho7, relaxed, DFT PBE-GGA; energy of formation from the pure elements = 0.149 eV per atom; crystal system = monoclinic; calculated volume = 365.8 Å³/cell; symmetry = No. 12
1.0
-1.155 3.497 4.865
6.325 -0.861 4.985
2.282 7.512 -1.992
Pr Sm Ho
2 2 7
Direct
0.189 0.598 0.598
0.811 0.402 0.402
0.500 0.789 0.211
0.500 0.211 0.789
0.823 0.411 0.935
0.177 0.065 0.589
0.000 0.000 0.000
0.424 0.231 0.231
0.576 0.769 0.769
0.177 0.589 0.065
0.823 0.935 0.411

***

4.
Pr2Sm6Ho5, relaxed, DFT PBE-GGA; energy of formation from the pure elements = 0.100 eV per atom; crystal system = orthorhombic; calculated volume = 876.1 Å³/cell; symmetry = No. 55
1.0
-2.375 2.730 -0.302
-7.797 -6.065 6.476
7.546 8.446 16.995
Ho Sm Pr
10 12 4
Direct
0.500 0.406 0.722
0.500 0.500 0.000
0.500 0.000 0.500
0.500 0.699 0.554
0.500 0.906 0.778
0.500 0.801 0.054
0.500 0.301 0.446
0.500 0.199 0.946
0.500 0.594 0.278
0.500 0.094 0.222
0.000 0.579 0.135
0.000 0.441 0.577
0.000 0.941 0.923
0.000 0.559 0.423
0.500 0.178 0.626
0.000 0.421 0.865
0.000 0.921 0.635
0.500 0.322 0.126
0.000 0.059 0.077
0.000 0.079 0.365
0.500 0.822 0.374
0.500 0.678 0.874
0.000 0.667 0.716
0.000 0.167 0.784
0.000 0.833 0.216
0.000 0.333 0.284

***

5.
Pr2Sm3Ho8, relaxed, DFT PBE-GGA; energy above the most stable polymorph in this dataset = 0.0 meV per atom; energy of formation from the pure elements = 0.230 eV per atom; crystal system = monoclinic; calculated volume = 443.9 Å³/cell; symmetry = No. 12
1.0
-3.923 0.204 -5.717
3.011 -4.562 -7.804
-4.050 -8.054 -3.083
Ho Pr Sm
8 2 3
Direct
0.435 0.437 0.800
0.435 0.800 0.437
0.927 0.420 0.420
0.565 0.200 0.563
0.565 0.563 0.200
0.010 0.192 0.192
0.073 0.580 0.580
0.990 0.808 0.808
0.521 0.780 0.780
0.479 0.220 0.220
0.500 0.000 0.000
0.000 0.824 0.176
0.000 0.176 0.824

***

6.
Pr11Sm9Ho4, relaxed, DFT PBE-GGA; energy of formation from the pure elements = 0.056 eV per atom; crystal system = orthorhombic; calculated volume = 836.1 Å³/cell; symmetry = No. 65
1.0
3.699 0.000 0.000
0.000 14.417 -6.209
0.000 -0.044 15.698
Ho Sm Pr
4 9 11
Direct
0.500 0.444 0.240
0.500 0.240 0.444
0.500 0.556 0.760
0.500 0.760 0.556
0.500 0.066 0.213
0.500 0.834 0.371
0.500 0.371 0.834
0.500 0.213 0.066
0.500 0.934 0.787
0.500 0.787 0.934
0.500 0.500 0.500
0.500 0.629 0.166
0.500 0.166 0.629
0.000 0.958 0.596
0.000 0.596 0.958
0.000 0.000 0.000
0.000 0.291 0.291
0.000 0.042 0.404
0.000 0.709 0.709
0.000 0.631 0.369
0.000 0.838 0.162
0.000 0.162 0.838
0.000 0.369 0.631
0.000 0.404 0.042

***

Q: Which formula does entry 4 have?
A: Pr2Sm6Ho5